# 1
An optimized crystal structure of AcAlCd3, computed with GGA-PBE.

It has space group Pnma (No. 62), with a = 9.1512 Å, b = 4.7342 Å, c = 11.9877 Å, α = 90.00°, β = 90.00° and γ = 90.00°. The asymmetric unit holds Ac at (0.1950, 0.2500, 0.9996), Al at (0.1025, 0.2500, 0.3674), Cd at (0.0731, 0.2500, 0.6062), Cd at (0.1097, 0.7500, 0.7951) and Cd at (0.1263, 0.7500, 0.2044).

For the offset from the most stable computed form, the calculation gives 65 meV per atom. Its formation energy is -0.22 eV per atom. Its total magnetization is 0.000 μB per cell.


# 2
An optimized crystal structure of Nb14SnSb, computed with GGA-PBE.

It has space group Cmmm (No. 65), with a = 6.9337 Å, b = 9.2419 Å, c = 9.2929 Å, α = 90.00°, β = 90.00° and γ = 90.00°. The asymmetric unit holds Nb at (0.0000, 0.0000, 0.0000), Nb at (0.0000, 0.2502, 0.2558), Nb at (0.0000, 0.5000, 0.0000), Nb at (0.2485, 0.0000, 0.2405), Nb at (0.2500, 0.2500, 0.0000), Nb at (0.2500, 0.2500, 0.5000), Sn at (0.0000, 0.5000, 0.5000) and Sb at (0.0000, 0.0000, 0.5000).

The calculation puts the uncorrected formation energy at -0.081 eV per atom. Its total magnetization is 0.000 μB per cell.


# 3
An optimized crystal structure of BaInO2, computed with GGA-PBE.

It has space group I-42d (No. 122), with a = 5.6500 Å, b = 5.6500 Å, c = 11.1249 Å, α = 90.00°, β = 90.00° and γ = 90.00°. The asymmetric unit holds Ba at (0.0000, 0.0000, 0.0000), In at (0.0000, 0.0000, 0.5000) and O at (0.1947, 0.2500, 0.6250).

The calculation puts the uncorrected formation energy at -1.713 eV per atom. Its total magnetization is 0.000 μB per cell.


# 4
An optimized crystal structure of PrZnCrH6, computed with GGA-PBE.

It has space group P-6m2 (No. 187), with a = 4.5193 Å, b = 4.5193 Å, c = 4.5950 Å, α = 90.00°, β = 90.00° and γ = 120.00°. The asymmetric unit holds Pr at (0.0000, 0.0000, 0.0000), Zn at (0.3333, 0.6667, 0.5000), Cr at (0.6667, 0.3333, 0.5000) and H at (0.5129, 0.0257, 0.2348).

The total DFT energy (no corrections) is -0.15319 Ha/atom. Its total magnetization is 2.235 μB per cell.


# 5
An optimized crystal structure of CaScIO2, computed with GGA-PBE.

It has space group P4/mmm (No. 123), with a = 4.2273 Å, b = 4.2273 Å, c = 5.5872 Å, α = 90.00°, β = 90.00° and γ = 90.00°. The asymmetric unit holds Ca at (0.0000, 0.0000, 0.0000), Sc at (0.5000, 0.5000, 0.5000), I at (0.5000, 0.5000, 0.0000) and O at (0.0000, 0.5000, 0.5000).

The calculation puts the uncorrected formation energy at -1.899 eV per atom. For the offset from the most stable computed form, the calculation gives 0 meV per atom. Its total magnetization is 0.000 μB per cell.


# 6
An optimized crystal structure of LaSmTmSn, computed with GGA-PBE.

It has space group F-43m (No. 216), with a = 7.8311 Å, b = 7.8311 Å, c = 7.8311 Å, α = 90.00°, β = 90.00° and γ = 90.00°. The asymmetric unit holds La at (0.0000, 0.0000, 0.0000), Sm at (0.0000, 0.0000, 0.5000), Tm at (0.2500, 0.2500, 0.2500) and Sn at (0.2500, 0.2500, 0.7500).

Its formation energy is -0.27 eV per atom. Its total magnetization is 0.006 μB per cell.


# 7
An optimized crystal structure of CsPSCl2, computed with GGA-PBE.

It has space group P4/mmm (No. 123), with a = 5.9748 Å, b = 5.9748 Å, c = 4.3033 Å, α = 90.00°, β = 90.00° and γ = 90.00°. The asymmetric unit holds Cs at (0.0000, 0.0000, 0.0000), P at (0.5000, 0.5000, 0.0000), S at (0.5000, 0.5000, 0.5000) and Cl at (0.0000, 0.5000, 0.5000).

The calculation puts the uncorrected formation energy at -0.323 eV per atom. For the offset from the most stable computed form, the calculation gives 365 meV per atom. Its total magnetization is 0.000 μB per cell.


# 8
An optimized crystal structure of CeAlCuPd, computed with GGA-PBE.

It has space group R3m (No. 160, hexagonal axes), with a = 4.3791 Å, b = 4.3791 Å, c = 14.0847 Å, α = 90.00°, β = 90.00° and γ = 120.00°. The asymmetric unit holds Ce at (0.0000, 0.0000, 0.0000), Al at (0.0000, 0.0000, 0.5022), Cu at (0.0000, 0.0000, 0.2082) and Pd at (0.0000, 0.0000, 0.7921).

Its formation energy is -0.53 eV per atom. Its total magnetization is 2.547 μB per cell.


# 9
An optimized crystal structure of LiSm2Pt3, computed with GGA-PBE.

It has space group P6_3/mmc (No. 194), with a = 4.4301 Å, b = 4.4301 Å, c = 15.0378 Å, α = 90.00°, β = 90.00° and γ = 120.00°. The asymmetric unit holds Li at (0.3333, 0.6667, 0.2500), Sm at (0.0000, 0.0000, 0.1226), Pt at (0.3333, 0.6667, 0.0233) and Pt at (0.3333, 0.6667, 0.7500).

Its formation energy is -0.85 eV per atom. Its total magnetization is 0.000 μB per cell.


# 10
An optimized crystal structure of CsKS14, computed with GGA-PBE.

It has space group C2/c (No. 15), with a = 27.4034 Å, b = 6.6657 Å, c = 13.7903 Å, α = 90.00°, β = 114.71° and γ = 90.00°. The asymmetric unit holds Cs at (0.0000, 0.0132, 0.2500), K at (0.0000, 0.5000, 0.0000), S at (0.0545, 0.0513, 0.5450), S at (0.0577, 0.4868, 0.8000), S at (0.1352, 0.0690, 0.6012), S at (0.1379, 0.4774, 0.8792), S at (0.1659, 0.2209, 0.1393), S at (0.1678, 0.2311, 0.3880) and S at (0.2136, 0.2272, 0.3012).

The calculation puts the uncorrected formation energy at -0.185 eV per atom. Its total magnetization is 0.368 μB per cell.


# 11
An optimized crystal structure of UAlTc, computed with GGA-PBE.

It has space group P3m1 (No. 156), with a = 4.6309 Å, b = 4.6309 Å, c = 2.8564 Å, α = 90.00°, β = 90.00° and γ = 120.00°. The asymmetric unit holds U at (0.0000, 0.0000, 0.0000), Al at (0.6667, 0.3333, 0.4922) and Tc at (0.3333, 0.6667, 0.6163).

For the offset from the most stable computed form, the calculation gives 285 meV per atom. Its formation energy is -0.02 eV per atom. Its total magnetization is 0.000 μB per cell.


# 12
An optimized crystal structure of CaSb4Rh, computed with GGA-PBE.

It has space group F-43m (No. 216), with a = 8.6870 Å, b = 8.6870 Å, c = 8.6870 Å, α = 90.00°, β = 90.00° and γ = 90.00°. The asymmetric unit holds Ca at (0.0000, 0.0000, 0.0000), Sb at (0.1244, 0.1244, 0.3756) and Rh at (0.2500, 0.2500, 0.7500).

The calculation puts the uncorrected formation energy at 0.243 eV per atom. Its total magnetization is 1.924 μB per cell.


# 13
An optimized crystal structure of KMn4Zn, computed with GGA-PBE.

It has space group F-43m (No. 216), with a = 7.6983 Å, b = 7.6983 Å, c = 7.6983 Å, α = 90.00°, β = 90.00° and γ = 90.00°. The asymmetric unit holds K at (0.0000, 0.0000, 0.0000), Mn at (0.1224, 0.1224, 0.6224) and Zn at (0.2500, 0.2500, 0.2500).

Its formation energy is 0.83 eV per atom. Its total magnetization is 60.053 μB per cell.


# 14
An optimized crystal structure of PmPu3Pt2, computed with GGA-PBE.

It has space group Pmc2_1 (No. 26), with a = 4.4109 Å, b = 9.0744 Å, c = 7.4667 Å, α = 90.00°, β = 90.00° and γ = 90.00°. The asymmetric unit holds Pm at (0.0000, 0.0749, 0.0000), Pu at (0.0000, 0.3319, 0.6211), Pu at (0.5000, 0.1800, 0.3366), Pu at (0.5000, 0.4262, 0.9453), Pt at (0.0000, 0.3570, 0.2157) and Pt at (0.5000, 0.1299, 0.7234).

Its formation energy is -0.57 eV per atom. Its total magnetization is 11.443 μB per cell.


# 15
An optimized crystal structure of AsRh2Se, computed with GGA-PBE.

It has space group I-42d (No. 122), with a = 5.1097 Å, b = 5.1097 Å, c = 12.6594 Å, α = 90.00°, β = 90.00° and γ = 90.00°. The asymmetric unit holds As at (0.0000, 0.0000, 0.0000), Rh at (0.2428, 0.2500, 0.1250) and Se at (0.0000, 0.0000, 0.5000).

The calculation puts the uncorrected formation energy at -0.155 eV per atom. For the offset from the most stable computed form, the calculation gives 219 meV per atom. Its total magnetization is 0.000 μB per cell.


# 16
An optimized crystal structure of TePAu, computed with GGA-PBE.

It has space group P1 (No. 1), with a = 3.9386 Å, b = 4.4143 Å, c = 4.6647 Å, α = 90.75°, β = 90.00° and γ = 116.22°. The asymmetric unit holds Te at (0.0000, 0.0000, 0.0000), P at (0.2239, 0.4538, 0.6265) and Au at (0.6242, 0.2516, 0.3522).

The calculation puts the uncorrected formation energy at 0.059 eV per atom. For the offset from the most stable computed form, the calculation gives 53 meV per atom. Its total magnetization is 0.000 μB per cell.


# 17
An optimized crystal structure of CuReIN2, computed with GGA-PBE.

It has space group P4/mmm (No. 123), with a = 3.8459 Å, b = 3.8459 Å, c = 5.9152 Å, α = 90.00°, β = 90.00° and γ = 90.00°. The asymmetric unit holds Cu at (0.0000, 0.0000, 0.0000), Re at (0.5000, 0.5000, 0.5000), I at (0.5000, 0.5000, 0.0000) and N at (0.0000, 0.5000, 0.5000).

The calculation puts the uncorrected formation energy at 0.644 eV per atom. For the offset from the most stable computed form, the calculation gives 0 meV per atom. Its total magnetization is 0.083 μB per cell.


# 18
An optimized crystal structure of TbIn4I7, computed with GGA-PBE.

It has space group C2/m (No. 12), with a = 22.5642 Å, b = 5.8938 Å, c = 8.4447 Å, α = 90.00°, β = 107.17° and γ = 90.00°. The asymmetric unit holds Tb at (0.0000, 0.0000, 0.0000), In at (0.0801, 0.5000, 0.6398), In at (0.1872, 0.5000, 0.2711), I at (0.0000, 0.5000, 0.0000), I at (0.0838, 0.0000, 0.3562), I at (0.1147, 0.0000, 0.8807) and I at (0.2243, 0.5000, 0.6732).

The calculation puts the uncorrected formation energy at -0.726 eV per atom. Its total magnetization is 0.000 μB per cell.


# 19
An optimized crystal structure of BaLiGe, computed with GGA-PBE.

It has space group C2/m (No. 12), with a = 11.1416 Å, b = 4.9158 Å, c = 8.2543 Å, α = 90.00°, β = 131.86° and γ = 90.00°. The asymmetric unit holds Ba at (0.2505, 0.0000, 0.2025), Li at (0.1182, 0.5000, 0.3241) and Ge at (0.0385, 0.0000, 0.3816).

Its formation energy is -0.41 eV per atom. Its total magnetization is 0.527 μB per cell.


# 20
An optimized crystal structure of Tb2Pm2Sm, computed with GGA-PBE.

It has space group I4/mmm (No. 139), with a = 4.6154 Å, b = 4.6154 Å, c = 16.5159 Å, α = 90.00°, β = 90.00° and γ = 90.00°. The asymmetric unit holds Tb at (0.0000, 0.0000, 0.0931), Pm at (0.0000, 0.5000, 0.2500) and Sm at (0.0000, 0.0000, 0.5000).

For the offset from the most stable computed form, the calculation gives 337 meV per atom. Its formation energy is 0.35 eV per atom. Its total magnetization is 0.001 μB per cell.


# 21
An optimized crystal structure of BaLaCr, computed with GGA-PBE.

It has space group F-43m (No. 216), with a = 7.7367 Å, b = 7.7367 Å, c = 7.7367 Å, α = 90.00°, β = 90.00° and γ = 90.00°. The asymmetric unit holds Ba at (0.0000, 0.0000, 0.0000), La at (0.0000, 0.0000, 0.5000) and Cr at (0.2500, 0.2500, 0.2500).

For the offset from the most stable computed form, the calculation gives 274 meV per atom. Its formation energy is 0.75 eV per atom. Its total magnetization is 14.059 μB per cell.


# 22
An optimized crystal structure of SbTeCl2, computed with GGA-PBE.

It has space group P4/mmm (No. 123), with a = 3.2267 Å, b = 3.2267 Å, c = 11.3600 Å, α = 90.00°, β = 90.00° and γ = 90.00°. The asymmetric unit holds Sb at (0.0000, 0.0000, 0.0000), Te at (0.0000, 0.0000, 0.5000) and Cl at (0.5000, 0.5000, 0.1689).

The calculation puts the uncorrected formation energy at -0.057 eV per atom. For the offset from the most stable computed form, the calculation gives 472 meV per atom. Its total magnetization is 0.000 μB per cell.


# 23
An optimized crystal structure of KCuAs2S4, computed with GGA-PBE.

It has space group I222 (No. 23), with a = 5.7736 Å, b = 6.7007 Å, c = 10.0701 Å, α = 90.00°, β = 90.00° and γ = 90.00°. The asymmetric unit holds K at (0.0000, 0.0000, 0.0000), Cu at (0.0000, 0.0000, 0.5000), As at (0.0000, 0.5000, 0.2734) and S at (0.2428, 0.1672, 0.6465).

The calculation puts the uncorrected formation energy at -0.293 eV per atom. Its total magnetization is 0.000 μB per cell.